# 1
{
  "formula": "AlZn2Fe",
  "functional": "PBE",
  "state": "relaxed",
  "lattice": [[-2.7673, 7.8502, -2.6479], [-4.5722, 6.2652, -4.0170], [-5.0697, 6.9754, -1.3917]],
  "species": ["Fe", "Al", "Zn", "Zn"],
  "frac_coords": [[0.7500, 0.7500, 0.7500], [0.2500, 0.2500, 0.2500], [0.4961, 0.4961, 0.4961], [0.0039, 0.0039, 0.0039]],
  "dos_at_fermi_per_ev_fu": 1.962,
  "ef_ev_per_atom": 0.056,
  "final_energy_ev_per_cell": -14.53,
  "magnetic_moment_mub_per_cell": 2.16
}

=====

# 2
{
  "formula": "KW2C",
  "functional": "PBE",
  "state": "relaxed",
  "lattice": [[6.4046, 0.0000, 0.0000], [0.0000, 6.4046, 0.0000], [3.2023, 3.2023, 4.5197]],
  "species": ["W", "C", "C", "W", "K", "W", "K", "W"],
  "frac_coords": [[0.8750, 0.6252, 0.7500], [0.5000, 0.5000, 0.0000], [0.2500, 0.7500, 0.5000], [0.3748, 0.6250, 0.2500], [0.0000, 0.0000, 0.0000], [0.3750, 0.6248, 0.7500], [0.7500, 0.2500, 0.5000], [0.3752, 0.1250, 0.2500]],
  "dos_at_fermi_per_ev_fu": 0.885,
  "ef_ev_per_atom": 1.442,
  "final_energy_ev_per_cell": -60.92,
  "magnetic_moment_mub_per_cell": 0.00
}

=====

# 3
{
  "formula": "SmDyZnCo",
  "functional": "PBE",
  "state": "relaxed",
  "lattice": [[4.9267, 0.0000, 0.0000], [2.4634, 4.2667, 0.0000], [2.4634, 1.4222, 4.0227]],
  "species": ["Co", "Dy", "Zn", "Sm"],
  "frac_coords": [[0.5000, 0.5000, 0.5000], [0.7500, 0.7500, 0.7500], [0.0000, 0.0000, 0.0000], [0.2500, 0.2500, 0.2500]],
  "dos_at_fermi_per_ev_fu": 2.585,
  "de_polymorph_ev_per_atom": 0.015,
  "ef_ev_per_atom": -0.188,
  "final_energy_ev_per_cell": -18.45,
  "magnetic_moment_mub_per_cell": 0.00
}

=====

# 4
{
  "formula": "Ac4NiIr",
  "functional": "PBE",
  "state": "relaxed",
  "lattice": [[-2.3600, 6.0870, 3.1766], [-4.6009, -3.9549, 4.1053], [9.2420, -1.8253, 2.0878]],
  "species": ["Ac", "Ac", "Ni", "Ir", "Ac", "Ac", "Ac", "Ac", "Ac", "Ac", "Ni", "Ir"],
  "frac_coords": [[0.0003, 0.7018, 0.8926], [0.8069, 0.1188, 0.6077], [0.3210, 0.5711, 0.1422], [0.9236, 0.1737, 0.3474], [0.6078, 0.8093, 0.1075], [0.3922, 0.1907, 0.8925], [0.6992, 0.5113, 0.3923], [0.3008, 0.4887, 0.6077], [0.1931, 0.8812, 0.3923], [0.9997, 0.2982, 0.1074], [0.6790, 0.4289, 0.8578], [0.0764, 0.8263, 0.6526]],
  "dos_at_fermi_per_ev_fu": 5.111,
  "de_polymorph_ev_per_atom": 0.081,
  "ef_ev_per_atom": -0.298,
  "final_energy_ev_per_cell": -65.73,
  "magnetic_moment_mub_per_cell": 0.00
}

=====

# 5
{
  "formula": "Pm2Nd3YEr6",
  "functional": "PBE",
  "state": "relaxed",
  "lattice": [[6.2128, 0.0001, 0.0038], [-3.1048, 5.3814, 0.0038], [-1.0390, -1.7990, 11.5962]],
  "species": ["Er", "Pm", "Pm", "Er", "Er", "Nd", "Er", "Er", "Nd", "Y", "Er", "Nd"],
  "frac_coords": [[0.2502, 0.2502, 0.7510], [0.6664, 0.3336, 0.0000], [0.3336, 0.6664, 0.0000], [0.7498, 0.7498, 0.2490], [0.4170, 0.0833, 0.2488], [0.1667, 0.8333, 0.5000], [0.9167, 0.5830, 0.7512], [0.5830, 0.9167, 0.7512], [0.8333, 0.1667, 0.5000], [0.0000, 0.0000, 0.0000], [0.0833, 0.4170, 0.2488], [0.5000, 0.5000, 0.5000]],
  "dos_at_fermi_per_ev_fu": 14.095,
  "ef_ev_per_atom": 0.016,
  "final_energy_ev_per_cell": -57.45,
  "magnetic_moment_mub_per_cell": 0.00
}

=====

# 6
{
  "formula": "Na2TlBrO",
  "functional": "PBE",
  "state": "relaxed",
  "lattice": [[4.7390, 0.0000, 0.0000], [0.0000, 4.7390, 0.0000], [0.0000, 0.0000, 5.2686]],
  "species": ["Na", "Tl", "Br", "Na", "O"],
  "frac_coords": [[0.0000, 0.5000, 0.0000], [0.0000, 0.0000, 0.5000], [0.5000, 0.5000, 0.5000], [0.5000, 0.0000, 0.0000], [0.0000, 0.0000, 0.0000]],
  "final_energy_ev_per_cell": -16.90,
  "magnetic_moment_mub_per_cell": 0.00,
  "formation_energy_uncorrected_ev_per_atom": -1.05
}

=====

# 7
{
  "formula": "SmYPt",
  "functional": "PBE",
  "state": "relaxed",
  "lattice": [[4.1484, 0.0000, 0.0000], [-2.0742, 3.5926, 0.0000], [0.0000, 0.0000, 6.2508]],
  "species": ["Y", "Pt", "Sm"],
  "frac_coords": [[0.3333, 0.6667, 0.5736], [0.6667, 0.3333, 0.3388], [0.0000, 0.0000, 0.0876]],
  "dos_at_fermi_per_ev_fu": 2.734,
  "de_polymorph_ev_per_atom": 0.155,
  "ef_ev_per_atom": -0.721,
  "final_energy_ev_per_cell": -19.39,
  "magnetic_moment_mub_per_cell": 0.00
}

=====

# 8
{
  "formula": "HgAs2",
  "functional": "PBE",
  "state": "relaxed",
  "lattice": [[0.3638, -3.9927, 4.0898], [-0.0637, 1.5374, 5.5166], [-4.5610, -1.1917, 3.2523]],
  "species": ["As", "Hg", "As", "As", "As", "Hg"],
  "frac_coords": [[0.1250, 0.1250, 0.1250], [0.7500, 0.7500, 0.7500], [0.1250, 0.6250, 0.1250], [0.6250, 0.1250, 0.1250], [0.1250, 0.1250, 0.6250], [0.5000, 0.5000, 0.5000]],
  "dos_at_fermi_per_ev_fu": 1.773,
  "ef_ev_per_atom": 0.364,
  "final_energy_ev_per_cell": -17.02,
  "magnetic_moment_mub_per_cell": 0.00
}